First-principles (PBE-GGA) data for crystalline Ho8Tl4Se3S at its relaxed geometry, as listed in the Alexandria database.

Properties
Energy relative to the elements, uncorrected: -1059 meV/atom
E: -77.61 eV per cell
Crystal system: monoclinic

Lattice parameters (Å, degrees): 7.7690 9.1339 7.7962 115.46 119.88 90.00
Closest atoms and distances in Å follow each position.
Fractional positions:
Ho (0.2333, 0.7118, 0.9790)  1 S 2.76, 2 Se 2.83
Ho (0.2334, 0.7119, 0.4668)  1 S 2.77, 2 Se 2.83
Ho (0.2604, 0.2817, 0.5208)  3 Se 2.84, 3 Tl 3.17
Ho (0.7457, 0.7118, 0.9790)  1 S 2.76, 2 Se 2.83
Ho (0.2543, 0.2882, 0.0210)  1 S 2.76, 2 Se 2.83
Ho (0.7396, 0.7183, 0.4792)  3 Se 2.84, 3 Tl 3.17
Ho (0.7666, 0.2881, 0.5332)  1 S 2.77, 2 Se 2.83
Ho (0.7667, 0.2882, 0.0210)  1 S 2.76, 2 Se 2.83
Tl (0.5000, 0.0000, 0.0000)  6 Ho 3.24-3.25
Tl (0.5000, 0.0000, 0.5000)  6 Ho 3.17-3.19
Tl (0.0000, 0.0000, 0.0000)  6 Ho 3.17-3.19
Tl (0.0000, 0.0000, 0.5000)  6 Ho 3.17-3.19
Se (0.5000, 0.5000, 0.0000)  6 Ho 2.83-2.84
Se (0.5000, 0.5000, 0.5000)  6 Ho 2.83-2.84
Se (0.0000, 0.5000, 0.5000)  6 Ho 2.83-2.84
S (0.0000, 0.5000, 0.0000)  6 Ho 2.76-2.77



First-principles (PBE-GGA) data for crystalline Ho6Tl3SeS2 at its relaxed geometry, as listed in the Alexandria database.

Properties
Energy relative to the elements, uncorrected: -1115 meV/atom
E: -59.69 eV per cell
Crystal system: monoclinic

Lattice parameters (Å, degrees): 6.6561 6.6561 8.2249 97.71 97.71 119.94
Closest atoms and distances in Å follow each position.
Fractional positions:
Ho (0.9311, 0.5893, 0.7916)  2 S 2.74-2.75, 1 Se 2.81
Ho (0.7251, 0.7251, 0.2053)  2 S 2.73, 1 Se 2.80
Ho (0.0689, 0.4107, 0.2084)  2 S 2.74-2.75, 1 Se 2.81
Ho (0.5893, 0.9311, 0.7916)  2 S 2.74-2.75, 1 Se 2.81
Ho (0.2749, 0.2749, 0.7947)  2 S 2.73, 1 Se 2.80
Ho (0.4107, 0.0689, 0.2084)  2 S 2.74-2.75, 1 Se 2.81
Tl (0.1611, 0.8389, 0.5000)  6 Ho 3.21-3.22
Tl (0.8389, 0.1611, 0.5000)  6 Ho 3.21-3.22
Tl (0.5000, 0.5000, 0.5000)  6 Ho 3.17-3.23
Se (0.0000, 0.0000, 0.0000)  6 Ho 2.80-2.81
S (0.3325, 0.6675, 0.0000)  6 Ho 2.73-2.75
S (0.6675, 0.3325, 0.0000)  6 Ho 2.73-2.75